[1]
Here is a relaxed FeCoGe crystal from OQMD via LeMat-Bulk. Energies are from PBE-GGA.

Unit cell a=6.727 b=6.727 c=2.784 alpha=90.00 beta=90.00 gamma=120.00
Fractional coordinates of all 9 atoms:
1 Co 0.667 0.333 0.000
2 Co 0.333 0.667 0.000
3 Co 0.000 0.000 0.500
4 Fe 0.628 0.000 0.500
5 Fe 0.372 0.372 0.500
6 Fe 0.000 0.628 0.500
7 Ge 0.294 0.000 0.000
8 Ge 0.000 0.294 0.000
9 Ge 0.706 0.706 0.000

Theoretical density, Mg/m³: 8.56
Spin magnetization, μB/f.u.: 3.524
Space-group type: P-62m (189)
E, eV per atom: -6.735

[2]
Here is a relaxed FeCoHgGe crystal from OQMD via LeMat-Bulk. Energies are from PBE-GGA.

Unit cell a=4.360 b=4.360 c=4.360 alpha=60.00 beta=60.00 gamma=60.00
Fractional coordinates of all 4 atoms:
1 Co 0.750 0.750 0.750
2 Fe 0.250 0.250 0.250
3 Ge 0.000 0.000 0.000
4 Hg 0.500 0.500 0.500

Theoretical density, Mg/m³: 10.99
Spin magnetization, μB/f.u.: 3.271
Space-group type: F-43m (216)
E, eV per atom: -4.712

[3]
Here is a relaxed La2FeCoGe4 crystal from OQMD via LeMat-Bulk. Energies are from PBE-GGA.

Unit cell a=4.289 b=8.707 c=8.707 alpha=28.88 beta=90.00 gamma=90.00
Fractional coordinates of all 8 atoms:
1 Co 0.500 0.817 0.817
2 Fe 0.000 0.183 0.183
3 Ge 0.000 0.045 0.045
4 Ge 0.500 0.251 0.251
5 Ge 0.000 0.751 0.751
6 Ge 0.500 0.954 0.954
7 La 0.000 0.391 0.391
8 La 0.500 0.609 0.609

Theoretical density, Mg/m³: 7.22
Spin magnetization, μB/f.u.: 1.386
Space-group type: Amm2 (38)
E, eV per atom: -6.079

[4]
Here is a relaxed MgFeCoGe crystal from OQMD via LeMat-Bulk. Energies are from PBE-GGA.

Unit cell a=4.116 b=4.116 c=4.116 alpha=60.00 beta=60.00 gamma=60.00
Fractional coordinates of all 4 atoms:
1 Co 0.250 0.250 0.250
2 Fe 0.750 0.750 0.750
3 Ge 0.000 0.000 0.000
4 Mg 0.500 0.500 0.500

Theoretical density, Mg/m³: 7.13
Spin magnetization, μB/f.u.: 0.052
Space-group type: F-43m (216)
E, eV per atom: -5.428

[5]
Here is a relaxed FeCoGeMo crystal from OQMD via LeMat-Bulk. Energies are from PBE-GGA.

Unit cell a=4.183 b=4.183 c=4.183 alpha=60.00 beta=60.00 gamma=60.00
Fractional coordinates of all 4 atoms:
1 Co 0.500 0.500 0.500
2 Fe 0.750 0.750 0.750
3 Ge 0.000 0.000 0.000
4 Mo 0.250 0.250 0.250

Theoretical density, Mg/m³: 9.09
Spin magnetization, μB/f.u.: 1.896
Space-group type: F-43m (216)
E, eV per atom: -7.614

[6]
Here is a relaxed FeCoGeMo crystal from OQMD via LeMat-Bulk. Energies are from PBE-GGA.

Unit cell a=4.198 b=4.198 c=4.198 alpha=60.00 beta=60.00 gamma=60.00
Fractional coordinates of all 4 atoms:
1 Co 0.750 0.750 0.750
2 Fe 0.500 0.500 0.500
3 Ge 0.000 0.000 0.000
4 Mo 0.250 0.250 0.250

Theoretical density, Mg/m³: 8.99
Spin magnetization, μB/f.u.: 2.979
Space-group type: F-43m (216)
E, eV per atom: -7.709

Repeat the fifth record exactly.
Here is a relaxed FeCoGeMo crystal from OQMD via LeMat-Bulk. Energies are from PBE-GGA.

Unit cell a=4.183 b=4.183 c=4.183 alpha=60.00 beta=60.00 gamma=60.00
Fractional coordinates of all 4 atoms:
1 Co 0.500 0.500 0.500
2 Fe 0.750 0.750 0.750
3 Ge 0.000 0.000 0.000
4 Mo 0.250 0.250 0.250

Theoretical density, Mg/m³: 9.09
Spin magnetization, μB/f.u.: 1.896
Space-group type: F-43m (216)
E, eV per atom: -7.614